! ThCo4Si2 PBE-GGA relaxed; values from VASP
&SYSTEM
  ibrav = 0, nat = 7, ntyp = 3
/
ATOMIC_SPECIES
Th 232.04 Th.upf
Co 58.93 Co.upf
Si 28.09 Si.upf
CELL_PARAMETERS angstrom
-1.783 1.783 7.990
1.783 -1.783 7.990
1.783 1.783 -7.990
ATOMIC_POSITIONS angstrom
Th 0.000 0.000 0.000
Co 0.000 0.000 2.327
Co 1.783 0.000 3.995
Co 0.000 1.783 3.995
Co 0.000 0.000 13.653
Si 0.000 0.000 5.562
Si 0.000 0.000 10.418
! Total magnetic moment (μB/f.u.): 0.46
! Energy relative to the elements, uncorrected (meV per atom): -238
! Crystal system: tetragonal